{
  "formula": "MgVBO4",
  "functional": "GGA+U",
  "state": "relaxed",
  "lattice": [[-0.082, 3.129, -3.638], [-3.544, 0.694, 3.161], [3.605, 3.819, 3.203]],
  "species": ["O", "Mg", "O", "B", "V", "O", "O", "V", "O", "O", "O", "Mg", "B", "O"],
  "frac_coords": [[0.730, 0.806, 0.750], [0.831, 0.169, 0.250], [0.270, 0.194, 0.250], [0.157, 0.843, 0.250], [0.500, 0.500, 0.500], [0.257, 0.743, 0.054], [0.257, 0.743, 0.446], [0.500, 0.500, 0.000], [0.743, 0.257, 0.554], [0.743, 0.257, 0.946], [0.194, 0.270, 0.750], [0.169, 0.831, 0.750], [0.843, 0.157, 0.750], [0.806, 0.730, 0.250]],
  "magmom_total_mub_per_fu": 2.00,
  "vol_a3_per_cell": 130,
  "mass_density_kg_m3": 3825,
  "e_tot_ev_per_atom": -7.431
}